Entry 1:
The following is a PBE-GGA calculation of crystalline LiTb4Te5 at its relaxed geometry, from Alexandria.

Cell and atoms, written as CIF:
```
data_LiTb4Te5
_chemical_formula_sum 'Li1 Tb4 Te5'
_space_group_name_H-M_alt 'P 1'
_space_group_IT_number 1
_cell_length_a 6.150
_cell_length_b 7.531
_cell_length_c 7.531
_cell_angle_alpha 80.40
_cell_angle_beta 65.90
_cell_angle_gamma 65.90
loop_
_space_group_symop_operation_xyz
'x,y,z'
loop_
_atom_site_label
_atom_site_fract_x
_atom_site_fract_y
_atom_site_fract_z
_atom_site_occupancy
Li1 0.007 0.000 0.000 1
Tb1 0.403 0.400 0.794 1
Tb2 0.803 0.794 0.600 1
Tb3 0.198 0.206 0.400 1
Tb4 0.597 0.600 0.206 1
Te1 0.903 0.386 0.808 1
Te2 0.289 0.808 0.614 1
Te3 0.711 0.192 0.386 1
Te4 0.097 0.614 0.192 1
Te5 0.502 0.000 0.000 1
```

Summary:
**Polymorph energy (0 for the lowest one)**: 0 meV/atom

***

Entry 2:
The following is a PBE-GGA calculation of crystalline LiTbTh2Te5 at its relaxed geometry, from Alexandria.

Cell and atoms, written as CIF:
```
data_LiTbTh2Te5
_chemical_formula_sum 'Li2 Tb2 Th4 Te10'
_space_group_name_H-M_alt 'P 1'
_space_group_IT_number 1
_cell_length_a 4.301
_cell_length_b 9.588
_cell_length_c 13.326
_cell_angle_alpha 90.00
_cell_angle_beta 90.00
_cell_angle_gamma 102.96
loop_
_space_group_symop_operation_xyz
'x,y,z'
loop_
_atom_site_label
_atom_site_fract_x
_atom_site_fract_y
_atom_site_fract_z
_atom_site_occupancy
Li1 0.562 0.123 0.963 1
Li2 0.438 0.877 0.463 1
Tb1 0.800 0.600 0.507 1
Tb2 0.200 0.400 0.007 1
Th1 0.870 0.739 0.802 1
Th2 0.107 0.213 0.681 1
Th3 0.130 0.261 0.302 1
Th4 0.893 0.787 0.181 1
Te1 0.365 0.731 0.999 1
Te2 0.689 0.378 0.842 1
Te3 0.498 0.997 0.787 1
Te4 0.282 0.565 0.669 1
Te5 0.952 0.904 0.575 1
Te6 0.635 0.269 0.499 1
Te7 0.311 0.622 0.342 1
Te8 0.502 0.003 0.287 1
Te9 0.718 0.435 0.169 1
Te10 0.048 0.096 0.075 1
```

Summary:
**Energy**: -94.58 eV per cell

***

Entry 3:
The following is a PBE-GGA calculation of crystalline LiTbThTe3 at its relaxed geometry, from Alexandria.

Cell and atoms, written as CIF:
```
data_LiTbThTe3
_chemical_formula_sum 'Li2 Tb2 Th2 Te6'
_space_group_name_H-M_alt 'P 1'
_space_group_IT_number 1
_cell_length_a 4.183
_cell_length_b 9.183
_cell_length_c 9.424
_cell_angle_alpha 104.00
_cell_angle_beta 90.00
_cell_angle_gamma 90.00
loop_
_space_group_symop_operation_xyz
'x,y,z'
loop_
_atom_site_label
_atom_site_fract_x
_atom_site_fract_y
_atom_site_fract_z
_atom_site_occupancy
Li1 0.250 0.085 0.586 1
Li2 0.750 0.915 0.414 1
Tb1 0.250 0.665 0.141 1
Tb2 0.750 0.335 0.859 1
Th1 0.750 0.802 0.777 1
Th2 0.250 0.198 0.223 1
Te1 0.250 0.772 0.503 1
Te2 0.750 0.913 0.125 1
Te3 0.750 0.448 0.199 1
Te4 0.750 0.228 0.497 1
Te5 0.250 0.552 0.801 1
Te6 0.250 0.087 0.875 1
```

Summary:
**Energy**: -60.39 eV per cell

***

Entry 4:
The following is a PBE-GGA calculation of crystalline Li3Tb2ThTe6 at its relaxed geometry, from Alexandria.

Cell and atoms, written as CIF:
```
data_Li3Tb2ThTe6
_chemical_formula_sum 'Li3 Tb2 Th1 Te6'
_space_group_name_H-M_alt 'P 1'
_space_group_IT_number 1
_cell_length_a 7.518
_cell_length_b 7.518
_cell_length_c 7.552
_cell_angle_alpha 99.55
_cell_angle_beta 99.55
_cell_angle_gamma 120.00
loop_
_space_group_symop_operation_xyz
'x,y,z'
loop_
_atom_site_label
_atom_site_fract_x
_atom_site_fract_y
_atom_site_fract_z
_atom_site_occupancy
Li1 0.166 0.834 0.500 1
Li2 0.834 0.166 0.500 1
Li3 0.500 0.500 0.500 1
Tb1 0.333 0.667 0.000 1
Tb2 0.667 0.333 0.000 1
Th1 0.000 0.000 0.000 1
Te1 0.913 0.576 0.738 1
Te2 0.750 0.750 0.262 1
Te3 0.087 0.424 0.262 1
Te4 0.576 0.913 0.738 1
Te5 0.250 0.250 0.738 1
Te6 0.424 0.087 0.262 1
```

Summary:
**Energy**: -55.94 eV per cell